(1)
This record from Alexandria via LeMat-Bulk describes a relaxed ScSi2Ni crystal. The functional is PBE-GGA.

The energy relative to the elements, uncorrected comes out at -40.9 kJ/mol of atoms. For the volume, the calculation gives 61 Å³ per cell.

The structure in CIF format:
```
data_ScSi2Ni
_symmetry_space_group_name_H-M 'P m m 2'
_symmetry_Int_Tables_number 25
_cell_length_a 3.083
_cell_length_b 4.171
_cell_length_c 4.743
_cell_angle_alpha 90.00
_cell_angle_beta 90.00
_cell_angle_gamma 90.00
loop_
_symmetry_equiv_pos_as_xyz
'x,y,z'
'-x,-y,z'
'-x,y,z'
'x,-y,z'
loop_
_atom_site_label
_atom_site_fract_x
_atom_site_fract_y
_atom_site_fract_z
_atom_site_occupancy
Sc1 0.000 0.000 0.000 1
Si1 0.500 0.000 0.488 1
Si2 0.500 0.500 0.763 1
Ni1 0.500 0.500 0.258 1
```

---

(2)
This record from Alexandria via LeMat-Bulk describes a relaxed ScSi3Ni crystal. The functional is PBE-GGA.

The energy relative to the elements, uncorrected comes out at -8.9 kJ/mol of atoms. For the volume, the calculation gives 337 Å³ per cell.

The structure in CIF format:
```
data_ScSi3Ni
_symmetry_space_group_name_H-M 'C m m m'
_symmetry_Int_Tables_number 65
_symmetry_space_group_name_Hall '-C 2 2'
_cell_length_a 3.656
_cell_length_b 26.797
_cell_length_c 3.441
_cell_angle_alpha 90.00
_cell_angle_beta 90.00
_cell_angle_gamma 90.00
loop_
_atom_site_label
_atom_site_fract_x
_atom_site_fract_y
_atom_site_fract_z
_atom_site_occupancy
Sc1 0.000 0.121 0.000 1
Si1 0.000 0.044 0.500 1
Si2 0.000 0.220 0.000 1
Si3 0.000 0.454 0.000 1
Ni1 0.000 0.285 0.500 1
```